(1)
SnPRu | GGA-PBE | relaxed

Its crystal system is monoclinic. The value obtained for the energy of formation from the pure elements is -0.25 eV/atom. The total magnetization comes out at 0.0 Bohr magnetons per cell. The calculated volume is 19.4 Å³/atom.

It has space group P2_1/c (No. 14), with a = 6.823 Å, b = 5.280 Å, c = 7.077 Å, α = 90.00°, β = 114.30° and γ = 90.00°. The asymmetric unit holds Sn at (0.146, 0.078, 0.380), P at (0.377, 0.645, 0.648) and Ru at (0.300, 0.534, 0.315).

=====

(2)
Sn2PRu | GGA-PBE | relaxed

Its crystal system is tetragonal. The value obtained for the energy of formation from the pure elements is 0.41 eV/atom. The total magnetization comes out at 0.0 Bohr magnetons per cell. The calculated volume is 26.8 Å³/atom.

It has space group I-42d (No. 122), with a = 6.147 Å, b = 6.147 Å, c = 11.366 Å, α = 90.00°, β = 90.00° and γ = 90.00°. The asymmetric unit holds Sn at (0.244, 0.250, 0.125), P at (0.000, 0.000, 0.500) and Ru at (0.000, 0.000, 0.000).

=====

(3)
Sn3PRu | GGA-PBE | relaxed

The calculation puts the energy relative to the lowest polymorph listed for this composition at 0.000 eV per formula unit. Its crystal system is cubic. The value obtained for the energy of formation from the pure elements is 0.34 eV/atom. The total magnetization comes out at 0.5 Bohr magnetons per cell. The calculated volume is 27.5 Å³/atom.

It has space group Pm-3m (No. 221), with a = 5.161 Å, b = 5.161 Å, c = 5.161 Å, α = 90.00°, β = 90.00° and γ = 90.00°. The asymmetric unit holds Sn at (0.000, 0.000, 0.500), P at (0.500, 0.500, 0.500) and Ru at (0.000, 0.000, 0.000).

=====

(4)
SnPRu2 | GGA-PBE | relaxed

The calculation puts the energy relative to the lowest polymorph listed for this composition at 0.000 eV per formula unit. Its crystal system is trigonal. The value obtained for the energy of formation from the pure elements is -0.24 eV/atom. The total magnetization comes out at 0.0 Bohr magnetons per cell. The calculated volume is 16.8 Å³/atom.

It has space group R3m (No. 160, hexagonal axes), with a = 3.6202 Å, b = 3.6202 Å, c = 17.7709 Å, α = 90.00°, β = 90.00° and γ = 120.00°. The asymmetric unit holds Sn at (0.0000, 0.0000, 0.0000), P at (0.0000, 0.0000, 0.1675), Ru at (0.0000, 0.0000, 0.5550) and Ru at (0.0000, 0.0000, 0.7751).

=====

(5)
SnP2Ru | GGA-PBE | relaxed

Its crystal system is tetragonal. The value obtained for the energy of formation from the pure elements is -0.07 eV/atom. The total magnetization comes out at 0.0 Bohr magnetons per cell. The calculated volume is 22.1 Å³/atom.

It has space group I-42d (No. 122), with a = 5.735 Å, b = 5.735 Å, c = 10.763 Å, α = 90.00°, β = 90.00° and γ = 90.00°. The asymmetric unit holds Sn at (0.000, 0.000, 0.000), P at (0.194, 0.250, 0.625) and Ru at (0.000, 0.000, 0.500).

=====

(6)
Sn3PRu | GGA-PBE | relaxed

The calculation puts the energy relative to the lowest polymorph listed for this composition at 3.607 eV per formula unit. Its crystal system is cubic. The value obtained for the energy of formation from the pure elements is 1.06 eV/atom. The total magnetization comes out at 1.7 Bohr magnetons per cell. The calculated volume is 26.0 Å³/atom.

It has space group Pm-3m (No. 221), with a = 5.064 Å, b = 5.064 Å, c = 5.064 Å, α = 90.00°, β = 90.00° and γ = 90.00°. The asymmetric unit holds Sn at (0.000, 0.000, 0.500), P at (0.000, 0.000, 0.000) and Ru at (0.500, 0.500, 0.500).

=====

(7)
SnPRu2 | GGA-PBE | relaxed

The calculation puts the energy relative to the lowest polymorph listed for this composition at 1.766 eV per formula unit. Its crystal system is tetragonal. The value obtained for the energy of formation from the pure elements is 0.21 eV/atom. The total magnetization comes out at 0.0 Bohr magnetons per cell. The calculated volume is 21.1 Å³/atom.

It has space group I-42d (No. 122), with a = 5.777 Å, b = 5.777 Å, c = 10.123 Å, α = 90.00°, β = 90.00° and γ = 90.00°. The asymmetric unit holds Sn at (0.000, 0.000, 0.000), P at (0.000, 0.000, 0.500) and Ru at (0.192, 0.250, 0.625).

=====

(8)
SnPRu2 | GGA-PBE | relaxed

The calculation puts the energy relative to the lowest polymorph listed for this composition at 1.209 eV per formula unit. Its crystal system is cubic. The value obtained for the energy of formation from the pure elements is 0.07 eV/atom. The total magnetization comes out at 0.0 Bohr magnetons per cell. The calculated volume is 15.3 Å³/atom.

It has space group Fm-3m (No. 225), with a = 6.259 Å, b = 6.259 Å, c = 6.259 Å, α = 90.00°, β = 90.00° and γ = 90.00°. The asymmetric unit holds Sn at (0.000, 0.000, 0.000), P at (0.000, 0.000, 0.500) and Ru at (0.250, 0.250, 0.250).

=====

(9)
SrSn2PRu | GGA-PBE | relaxed

Its crystal system is tetragonal. The value obtained for the energy of formation from the pure elements is -0.05 eV/atom. The total magnetization comes out at 0.0 Bohr magnetons per cell. The calculated volume is 24.8 Å³/atom.

It has space group P4/mmm (No. 123), with a = 5.263 Å, b = 5.263 Å, c = 4.470 Å, α = 90.00°, β = 90.00° and γ = 90.00°. The asymmetric unit holds Sr at (0.000, 0.000, 0.000), Sn at (0.000, 0.500, 0.500), P at (0.500, 0.500, 0.000) and Ru at (0.500, 0.500, 0.500).

=====

(10)
Sr2PRu | GGA-PBE | relaxed

Its crystal system is orthorhombic. The value obtained for the energy of formation from the pure elements is 0.29 eV/atom. The total magnetization comes out at 1.8 Bohr magnetons per cell. The calculated volume is 27.1 Å³/atom.

It has space group Pmm2 (No. 25), with a = 3.351 Å, b = 5.252 Å, c = 6.157 Å, α = 90.00°, β = 90.00° and γ = 90.00°. The asymmetric unit holds Sr at (0.000, 0.000, 0.000), Sr at (0.500, 0.500, 0.499), P at (0.000, 0.000, 0.500) and Ru at (0.500, 0.500, 0.998).

=====

(11)
SrP2Ru2 | GGA-PBE | relaxed

Its crystal system is tetragonal. The value obtained for the energy of formation from the pure elements is -0.93 eV/atom. The total magnetization comes out at 0.0 Bohr magnetons per cell. The calculated volume is 18.6 Å³/atom.

It has space group I4/mmm (No. 139), with a = 4.061 Å, b = 4.061 Å, c = 11.297 Å, α = 90.00°, β = 90.00° and γ = 90.00°. The asymmetric unit holds Sr at (0.000, 0.000, 0.000), P at (0.000, 0.000, 0.351) and Ru at (0.000, 0.500, 0.250).

=====

(12)
Sr2PRu | GGA-PBE | relaxed

Its crystal system is orthorhombic. The value obtained for the energy of formation from the pure elements is -0.48 eV/atom. The total magnetization comes out at 0.0 Bohr magnetons per cell. The calculated volume is 26.6 Å³/atom.

It has space group Amm2 (No. 38), with a = 4.121 Å, b = 4.761 Å, c = 10.837 Å, α = 90.00°, β = 90.00° and γ = 90.00°. The asymmetric unit holds Sr at (0.000, 0.000, 0.000), Sr at (0.500, 0.000, 0.286), P at (0.000, 0.000, 0.695) and Ru at (0.500, 0.000, 0.600).

=====

(13)
Sr2PRu | GGA-PBE | relaxed

Its crystal system is trigonal. The value obtained for the energy of formation from the pure elements is 0.29 eV/atom. The total magnetization comes out at 2.9 Bohr magnetons per cell. The calculated volume is 27.5 Å³/atom.

It has space group R-3m (No. 166, hexagonal axes), with a = 3.8380 Å, b = 3.8380 Å, c = 25.8480 Å, α = 90.00°, β = 90.00° and γ = 120.00°. The asymmetric unit holds Sr at (0.0000, 0.0000, 0.2458), P at (0.0000, 0.0000, 0.5000) and Ru at (0.0000, 0.0000, 0.0000).